[1]
# GGA-PBE ErAsF, relaxed
# Crystal system: monoclinic
# Offset from the most stable computed form in meV/atom: 0
data_ErAsF
_chemical_formula_sum 'Er4 As4 F4'
_symmetry_space_group_name_H-M 'C 1 2/m 1'
_symmetry_Int_Tables_number 12
_cell_length_a 9.301
_cell_length_b 4.157
_cell_length_c 6.668
_cell_angle_alpha 90.00
_cell_angle_beta 95.37
_cell_angle_gamma 90.00
loop_
_symmetry_equiv_pos_as_xyz
'x,y,z'
'-x,-y,-z'
'-x,y,-z'
'x,-y,z'
'x+1/2,y+1/2,z'
'-x+1/2,-y+1/2,-z'
'-x+1/2,y+1/2,-z'
'x+1/2,-y+1/2,z'
loop_
_atom_site_label
_atom_site_fract_x
_atom_site_fract_y
_atom_site_fract_z
Er1 0.233 0.000 0.257
As1 0.073 0.000 0.857
F1 0.196 0.500 0.405

***

[2]
# GGA-PBE ErAsF, relaxed
# Crystal system: tetragonal
# Offset from the most stable computed form in meV/atom: 411
data_ErAsF
_chemical_formula_sum 'Er2 As2 F2'
_symmetry_space_group_name_H-M 'I 4 m m'
_symmetry_Int_Tables_number 107
_symmetry_space_group_name_Hall 'I 4 -2'
_cell_length_a 3.230
_cell_length_b 3.230
_cell_length_c 10.270
_cell_angle_alpha 90.00
_cell_angle_beta 90.00
_cell_angle_gamma 90.00
loop_
_atom_site_label
_atom_site_fract_x
_atom_site_fract_y
_atom_site_fract_z
Er1 0.000 0.000 0.000
As1 0.000 0.000 0.301
F1 0.000 0.000 0.578

***

[3]
# GGA-PBE ErAsO4F, relaxed
# Crystal system: monoclinic
data_ErAsO4F
_chemical_formula_sum 'Er4 As4 O16 F4'
_symmetry_space_group_name_H-M 'C 1 2/m 1'
_symmetry_Int_Tables_number 12
_cell_length_a 9.422
_cell_length_b 7.149
_cell_length_c 6.715
_cell_angle_alpha 90.00
_cell_angle_beta 107.27
_cell_angle_gamma 90.00
loop_
_symmetry_equiv_pos_as_xyz
'x,y,z'
'-x,-y,-z'
'-x,y,-z'
'x,-y,z'
'x+1/2,y+1/2,z'
'-x+1/2,-y+1/2,-z'
'-x+1/2,y+1/2,-z'
'x+1/2,-y+1/2,z'
loop_
_atom_site_label
_atom_site_fract_x
_atom_site_fract_y
_atom_site_fract_z
Er1 0.201 0.000 0.102
As1 0.146 0.500 0.276
O1 0.044 0.500 0.782
O2 0.205 0.317 0.154
O3 0.223 0.500 0.538
F1 0.010 0.000 0.820

***

Number 1: formation energy without anion corrections -219.1 kJ/mol of atoms. Number 2: formation energy without anion corrections -179.5 kJ/mol of atoms. Number 3: formation energy without anion corrections -206.0 kJ/mol of atoms.